Run 1
Compound: Tb2Pm3Er2
Source: Alexandria via LeMat-Bulk
Functional: GGA-PBE
Structure: optimized geometry

**Crystal system**: monoclinic
**Symmetry**: C2/m (12)

a = 5.065 Å, b = 6.194 Å, c = 8.028 Å
α = 97.47°, β = 90.00°, γ = 114.13°
Fractional positions:
Tb (0.785, 0.571, 0.858)
Tb (0.215, 0.429, 0.142)
Pm (0.500, 0.000, 0.000)
Pm (0.642, 0.285, 0.428)
Pm (0.358, 0.715, 0.572)
Er (0.928, 0.856, 0.285)
Er (0.072, 0.144, 0.715)

Run 2
Compound: Tb2Pm3Er2
Source: Alexandria via LeMat-Bulk
Functional: GGA-PBE
Structure: optimized geometry

**Crystal system**: orthorhombic
**Symmetry**: Immm (71)

a = 3.551 Å, b = 11.863 Å, c = 5.764 Å
α = 75.93°, β = 90.00°, γ = 98.61°
Fractional positions:
Tb (0.916, 0.831, 0.585)
Tb (0.084, 0.169, 0.415)
Pm (0.000, 0.000, 0.000)
Pm (0.725, 0.450, 0.275)
Pm (0.275, 0.550, 0.725)
Er (0.636, 0.272, 0.864)
Er (0.364, 0.728, 0.136)

Relative energy table, unit eV/atom: run 1 0.000; run 2 0.084

Run 1
Compound: Tb2Pm3Er8
Source: Alexandria via LeMat-Bulk
Functional: GGA-PBE
Structure: optimized geometry

**Crystal system**: monoclinic
**Symmetry**: C2/m (12)

a = 5.592 Å, b = 7.659 Å, c = 10.753 Å
α = 110.86°, β = 90.05°, γ = 90.00°
Fractional positions:
Tb (0.498, 0.241, 0.482)
Tb (0.502, 0.759, 0.518)
Pm (0.500, 0.000, 0.000)
Pm (0.000, 0.292, 0.000)
Pm (0.000, 0.708, 0.000)
Er (0.001, 0.670, 0.339)
Er (0.999, 0.330, 0.661)
Er (0.000, 0.134, 0.268)
Er (0.000, 0.866, 0.732)
Er (0.499, 0.600, 0.781)
Er (0.499, 0.181, 0.781)
Er (0.501, 0.819, 0.219)
Er (0.501, 0.400, 0.219)

Run 2
Compound: Tb2Pm3Er8
Source: Alexandria via LeMat-Bulk
Functional: GGA-PBE
Structure: optimized geometry

**Crystal system**: monoclinic
**Symmetry**: C2/m (12)

a = 6.892 Å, b = 9.441 Å, c = 9.441 Å
α = 57.76°, β = 61.30°, γ = 61.30°
Fractional positions:
Tb (0.490, 0.217, 0.217)
Tb (0.510, 0.783, 0.783)
Pm (0.500, 0.000, 0.000)
Pm (0.000, 0.176, 0.824)
Pm (0.000, 0.824, 0.176)
Er (0.067, 0.583, 0.583)
Er (0.933, 0.417, 0.417)
Er (0.012, 0.192, 0.192)
Er (0.988, 0.808, 0.808)
Er (0.561, 0.562, 0.201)
Er (0.561, 0.201, 0.562)
Er (0.439, 0.799, 0.438)
Er (0.439, 0.438, 0.799)

Relative energy table, unit eV/atom: run 1 0.015; run 2 0.000

Run 1
Compound: Tb5PmEr6
Source: Alexandria via LeMat-Bulk
Functional: GGA-PBE
Structure: optimized geometry

**Crystal system**: monoclinic
**Symmetry**: C2/m (12)

a = 11.705 Å, b = 6.136 Å, c = 6.132 Å
α = 59.98°, β = 85.01°, γ = 79.99°
Fractional positions:
Tb (0.500, 0.167, 0.666)
Tb (0.000, 0.333, 0.334)
Tb (0.500, 0.500, 0.000)
Tb (0.000, 0.667, 0.666)
Tb (0.500, 0.833, 0.334)
Pm (0.000, 0.000, 0.000)
Er (0.749, 0.083, 0.334)
Er (0.251, 0.583, 0.334)
Er (0.251, 0.250, 0.000)
Er (0.749, 0.750, 0.000)
Er (0.749, 0.417, 0.666)
Er (0.251, 0.917, 0.666)

Run 2
Compound: Tb5PmEr6
Source: Alexandria via LeMat-Bulk
Functional: GGA-PBE
Structure: optimized geometry

**Crystal system**: orthorhombic
**Symmetry**: Immm (71)

a = 10.091 Å, b = 10.091 Å, c = 5.752 Å
α = 106.56°, β = 106.56°, γ = 124.63°
Fractional positions:
Er (0.431, 0.068, 0.250)
Er (0.932, 0.569, 0.750)
Er (0.250, 0.250, 0.750)
Er (0.750, 0.750, 0.250)
Er (0.068, 0.431, 0.250)
Er (0.569, 0.932, 0.750)
Tb (0.847, 0.153, 0.500)
Tb (0.652, 0.348, 0.000)
Tb (0.500, 0.500, 0.500)
Tb (0.348, 0.652, 0.000)
Tb (0.153, 0.847, 0.500)
Pm (0.000, 0.000, 0.000)

Relative energy table, unit eV/atom: run 1 0.000; run 2 0.092

Run 1
Compound: Tb12Pm7Er
Source: Alexandria via LeMat-Bulk
Functional: GGA-PBE
Structure: optimized geometry

**Crystal system**: cubic
**Symmetry**: Im-3m (229)

a = 9.820 Å, b = 9.820 Å, c = 9.820 Å
α = 109.47°, β = 109.47°, γ = 109.47°
Fractional positions:
Tb (0.507, 0.754, 0.754)
Tb (0.000, 0.754, 0.246)
Tb (0.493, 0.246, 0.246)
Tb (0.000, 0.246, 0.754)
Tb (0.754, 0.000, 0.246)
Tb (0.754, 0.507, 0.754)
Tb (0.246, 0.000, 0.754)
Tb (0.246, 0.493, 0.246)
Tb (0.754, 0.754, 0.507)
Tb (0.246, 0.246, 0.493)
Tb (0.754, 0.246, 0.000)
Tb (0.246, 0.754, 0.000)
Pm (0.500, 0.500, 0.000)
Pm (0.000, 0.500, 0.500)
Pm (0.500, 0.000, 0.500)
Pm (0.500, 0.500, 0.500)
Pm (0.000, 0.000, 0.500)
Pm (0.500, 0.000, 0.000)
Pm (0.000, 0.500, 0.000)
Er (0.000, 0.000, 0.000)

Run 2
Compound: Tb12Pm7Er
Source: Alexandria via LeMat-Bulk
Functional: GGA-PBE
Structure: optimized geometry

**Crystal system**: trigonal
**Symmetry**: R-3 (148)

a = 8.796 Å, b = 8.796 Å, c = 8.796 Å
α = 86.15°, β = 86.15°, γ = 86.15°
Fractional positions:
Tb (0.853, 0.251, 0.728)
Tb (0.749, 0.272, 0.147)
Tb (0.616, 0.134, 0.496)
Tb (0.866, 0.504, 0.384)
Tb (0.272, 0.147, 0.749)
Tb (0.504, 0.384, 0.866)
Tb (0.496, 0.616, 0.134)
Tb (0.728, 0.853, 0.251)
Tb (0.134, 0.496, 0.616)
Tb (0.384, 0.866, 0.504)
Tb (0.251, 0.728, 0.853)
Tb (0.147, 0.749, 0.272)
Pm (0.847, 0.601, 0.921)
Pm (0.399, 0.079, 0.153)
Pm (0.079, 0.153, 0.399)
Pm (0.500, 0.500, 0.500)
Pm (0.921, 0.847, 0.601)
Pm (0.601, 0.921, 0.847)
Pm (0.153, 0.399, 0.079)
Er (0.000, 0.000, 0.000)

Relative energy table, unit eV/atom: run 1 0.408; run 2 0.000

Run 1
Compound: Tb2Pm4Er
Source: Alexandria via LeMat-Bulk
Functional: GGA-PBE
Structure: optimized geometry

**Crystal system**: orthorhombic
**Symmetry**: Cmce (64)

a = 5.340 Å, b = 11.335 Å, c = 15.601 Å
α = 90.00°, β = 90.00°, γ = 90.00°
Fractional positions:
Tb (0.000, 0.893, 0.844)
Tb (0.500, 0.607, 0.156)
Tb (0.000, 0.393, 0.656)
Tb (0.500, 0.107, 0.344)
Tb (0.000, 0.107, 0.156)
Tb (0.500, 0.393, 0.844)
Tb (0.000, 0.607, 0.344)
Tb (0.500, 0.893, 0.656)
Pm (0.000, 0.704, 0.570)
Pm (0.500, 0.796, 0.430)
Pm (0.000, 0.204, 0.930)
Pm (0.500, 0.296, 0.070)
Pm (0.000, 0.296, 0.430)
Pm (0.500, 0.204, 0.570)
Pm (0.000, 0.796, 0.070)
Pm (0.500, 0.704, 0.930)
Pm (0.000, 0.098, 0.694)
Pm (0.500, 0.402, 0.306)
Pm (0.000, 0.598, 0.806)
Pm (0.500, 0.902, 0.194)
Pm (0.000, 0.902, 0.306)
Pm (0.500, 0.598, 0.694)
Pm (0.000, 0.402, 0.194)
Pm (0.500, 0.098, 0.806)
Er (0.000, 0.000, 0.500)
Er (0.500, 0.500, 0.500)
Er (0.000, 0.500, 0.000)
Er (0.500, 0.000, 0.000)

Run 2
Compound: Tb2Pm4Er
Source: Alexandria via LeMat-Bulk
Functional: GGA-PBE
Structure: optimized geometry

**Crystal system**: monoclinic
**Symmetry**: P2_1/m (11)

a = 6.204 Å, b = 6.646 Å, c = 11.625 Å
α = 90.00°, β = 104.36°, γ = 90.00°
Fractional positions:
Tb (0.607, 0.750, 0.994)
Tb (0.393, 0.250, 0.006)
Tb (0.287, 0.250, 0.423)
Tb (0.713, 0.750, 0.577)
Pm (0.649, 0.510, 0.285)
Pm (0.039, 0.750, 0.864)
Pm (0.961, 0.250, 0.136)
Pm (0.649, 0.990, 0.285)
Pm (0.848, 0.250, 0.550)
Pm (0.351, 0.010, 0.715)
Pm (0.351, 0.490, 0.715)
Pm (0.152, 0.750, 0.450)
Er (0.148, 0.750, 0.163)
Er (0.852, 0.250, 0.837)

Relative energy table, unit eV/atom: run 1 0.036; run 2 0.000